The following is a PBE-GGA calculation of a relaxed Ce2YPaS4 crystal, from Alexandria.

Cell lengths 3.934, 6.876, 6.862 Å; angles 109.08, 90.00, 90.00 degrees
Site moments in Bohr magnetons follow the coordinates.
Fractional coordinates of all 8 atoms:
S: 0.500 0.246 0.240  0.01
Ce: 0.000 0.500 0.500  -0.56
S: 0.000 0.749 0.241  0.01
Y: 0.000 0.000 0.000  0.01
Ce: 0.500 0.000 0.500  -0.12
Pa: 0.500 0.500 0.000  -0.09
S: 0.500 0.754 0.760  0.01
S: 0.000 0.251 0.759  0.01

Calculated values
Uncorrected energy ... -7.462 eV/atom
DOS(E_F) ... 12.6 states/eV/f.u.